Record 1
# SmTmZr2 | the Alexandria database | GGA-PBE | relaxed
# Calculated formation energy, eV/atom: 0.13
# Polymorph energy (0 for the lowest one), kJ/mol of formula units: 1
data_SmTmZr2
_symmetry_space_group_name_H-M 'P 4/m m m'
_symmetry_Int_Tables_number 123
_symmetry_space_group_name_Hall '-P 4 2'
_cell_length_a 4.722
_cell_length_b 4.722
_cell_length_c 4.789
_cell_angle_alpha 90.00
_cell_angle_beta 90.00
_cell_angle_gamma 90.00
loop_
_atom_site_label
_atom_site_type_symbol
_atom_site_fract_x
_atom_site_fract_y
_atom_site_fract_z
_atom_site_occupancy
Sm1 Sm 0.000 0.000 0.000 1
Tm1 Tm 0.500 0.500 0.000 1
Zr1 Zr 0.000 0.500 0.500 1

---

Record 2
# ErV2C | the Alexandria database | GGA-PBE | relaxed
# Calculated formation energy, eV/atom: 0.35
data_ErV2C
_symmetry_space_group_name_H-M 'P 4/m m m'
_symmetry_Int_Tables_number 123
_symmetry_space_group_name_Hall '-P 4 2'
_cell_length_a 2.961
_cell_length_b 2.961
_cell_length_c 6.414
_cell_angle_alpha 90.00
_cell_angle_beta 90.00
_cell_angle_gamma 90.00
loop_
_atom_site_label
_atom_site_type_symbol
_atom_site_fract_x
_atom_site_fract_y
_atom_site_fract_z
_atom_site_occupancy
Er1 Er 0.000 0.000 0.000 1
V1 V 0.500 0.500 0.345 1
C1 C 0.000 0.000 0.500 1

---

Record 3
# KAc2As | the Alexandria database | GGA-PBE | relaxed
# Calculated formation energy, eV/atom: -0.52
# Polymorph energy (0 for the lowest one), kJ/mol of formula units: 0
data_KAc2As
_symmetry_space_group_name_H-M 'R -3 m'
_symmetry_Int_Tables_number 166
_symmetry_space_group_name_Hall '-R 3 2"'
_cell_length_a 4.3049
_cell_length_b 4.3049
_cell_length_c 36.5898
_cell_angle_alpha 90.00
_cell_angle_beta 90.00
_cell_angle_gamma 120.00
loop_
_atom_site_label
_atom_site_type_symbol
_atom_site_fract_x
_atom_site_fract_y
_atom_site_fract_z
_atom_site_occupancy
K1 K 0.0000 0.0000 0.0000 1
Ac1 Ac 0.0000 0.0000 0.1167 1
As1 As 0.0000 0.0000 0.5000 1

---

Record 4
# SrNb3Ga | the Alexandria database | GGA-PBE | relaxed
# Calculated formation energy, eV/atom: 2.44
# Polymorph energy (0 for the lowest one), kJ/mol of formula units: 678
data_SrNb3Ga
_symmetry_space_group_name_H-M 'P m -3 m'
_symmetry_Int_Tables_number 221
_symmetry_space_group_name_Hall '-P 4 2 3'
_cell_length_a 4.882
_cell_length_b 4.882
_cell_length_c 4.882
_cell_angle_alpha 90.00
_cell_angle_beta 90.00
_cell_angle_gamma 90.00
loop_
_atom_site_label
_atom_site_type_symbol
_atom_site_fract_x
_atom_site_fract_y
_atom_site_fract_z
_atom_site_occupancy
Sr1 Sr 0.000 0.000 0.000 1
Nb1 Nb 0.000 0.000 0.500 1
Ga1 Ga 0.500 0.500 0.500 1

---

Record 5
# YHoTl | the Alexandria database | GGA-PBE | relaxed
# Calculated formation energy, eV/atom: 0.19
# Polymorph energy (0 for the lowest one), kJ/mol of formula units: 139
data_YHoTl
_symmetry_space_group_name_H-M 'I 4 m m'
_symmetry_Int_Tables_number 107
_symmetry_space_group_name_Hall 'I 4 -2'
_cell_length_a 3.365
_cell_length_b 3.365
_cell_length_c 17.928
_cell_angle_alpha 90.00
_cell_angle_beta 90.00
_cell_angle_gamma 90.00
loop_
_atom_site_label
_atom_site_type_symbol
_atom_site_fract_x
_atom_site_fract_y
_atom_site_fract_z
_atom_site_occupancy
Y1 Y 0.000 0.000 0.000 1
Ho1 Ho 0.000 0.000 0.640 1
Tl1 Tl 0.000 0.000 0.820 1

---

Record 6
# PuPaSbN2 | the Alexandria database | GGA-PBE | relaxed
# Energy relative to the elements, uncorrected, eV/f.u.: -6.6
data_PuPaSbN2
_symmetry_space_group_name_H-M 'I 4 m m'
_symmetry_Int_Tables_number 107
_symmetry_space_group_name_Hall 'I 4 -2'
_cell_length_a 3.919
_cell_length_b 3.919
_cell_length_c 12.687
_cell_angle_alpha 90.00
_cell_angle_beta 90.00
_cell_angle_gamma 90.00
loop_
_atom_site_label
_atom_site_type_symbol
_atom_site_fract_x
_atom_site_fract_y
_atom_site_fract_z
_atom_site_occupancy
Pu1 Pu 0.000 0.000 0.000 1
Pa1 Pa 0.000 0.000 0.322 1
Sb1 Sb 0.000 0.000 0.657 1
N1 N 0.000 0.500 0.404 1

---

In states/eV/cell, the DOS(E_F) values for the records above are, in order, 4.55, 2.58, 13.49, 4.32, 7.07, 19.61.